A plane-wave DFT calculation with PBE was carried out for K2TcRh after structural relaxation. Values from VASP.

Quantum ESPRESSO input file:
```
&SYSTEM
  ibrav = 0, nat = 4, ntyp = 3
/
ATOMIC_SPECIES
K 39.10 K.upf
Tc 98.00 Tc.upf
Rh 102.91 Rh.upf
CELL_PARAMETERS angstrom
-1.964 2.926 5.307
1.964 -2.926 5.307
1.964 2.926 -5.307
ATOMIC_POSITIONS crystal
K 0.000 0.000 0.000
K 0.704 0.204 0.500
Tc 0.400 0.400 0.000
Rh 0.285 0.785 0.500
```

Summary:
The relative energy among the computed polymorphs is 0.3230 eV/atom. The calculation puts the formation energy at 0.908 eV/atom.

***

A plane-wave DFT calculation with PBE was carried out for K2TcRh after structural relaxation. Values from VASP.

Quantum ESPRESSO input file:
```
&SYSTEM
  ibrav = 0, nat = 4, ntyp = 3
/
ATOMIC_SPECIES
K 39.10 K.upf
Tc 98.00 Tc.upf
Rh 102.91 Rh.upf
CELL_PARAMETERS angstrom
2.664 -5.624 0.000
2.664 5.624 0.000
-0.079 0.000 2.803
ATOMIC_POSITIONS crystal
K 0.000 0.500 0.000
K 0.500 0.000 0.000
Tc 0.000 0.000 0.500
Rh 0.500 0.500 0.500
```

Summary:
The relative energy among the computed polymorphs is 0.5506 eV/atom. The calculation puts the formation energy at 1.135 eV/atom.

***

A plane-wave DFT calculation with PBE was carried out for KTcRh after structural relaxation. Values from VASP.

Quantum ESPRESSO input file:
```
&SYSTEM
  ibrav = 0, nat = 3, ntyp = 3
/
ATOMIC_SPECIES
K 39.10 K.upf
Tc 98.00 Tc.upf
Rh 102.91 Rh.upf
CELL_PARAMETERS angstrom
-1.476 1.476 7.243
1.476 -1.476 7.243
1.476 1.476 -7.243
ATOMIC_POSITIONS crystal
K 0.000 0.000 0.000
Tc 0.712 0.712 0.000
Rh 0.312 0.312 0.000
```

Summary:
The relative energy among the computed polymorphs is 0.0627 eV/atom. The calculation puts the formation energy at 0.692 eV/atom.

***

A plane-wave DFT calculation with PBE was carried out for KY2TcRh after structural relaxation. Values from VASP.

Quantum ESPRESSO input file:
```
&SYSTEM
  ibrav = 0, nat = 5, ntyp = 4
/
ATOMIC_SPECIES
K 39.10 K.upf
Y 88.91 Y.upf
Tc 98.00 Tc.upf
Rh 102.91 Rh.upf
CELL_PARAMETERS angstrom
5.472 0.000 0.000
0.000 5.472 0.000
0.000 0.000 4.775
ATOMIC_POSITIONS crystal
K 0.000 0.000 0.000
Y 0.000 0.500 0.500
Y 0.500 0.000 0.500
Tc 0.500 0.500 0.500
Rh 0.500 0.500 0.000
```

Summary:
The calculation puts the formation energy at 0.356 eV/atom.

***

A plane-wave DFT calculation with PBE was carried out for KTeRh after structural relaxation. Values from VASP.

Quantum ESPRESSO input file:
```
&SYSTEM
  ibrav = 0, nat = 3, ntyp = 3
/
ATOMIC_SPECIES
K 39.10 K.upf
Te 127.60 Te.upf
Rh 102.91 Rh.upf
CELL_PARAMETERS angstrom
4.427 0.000 0.000
-2.213 3.834 0.000
0.000 0.000 5.328
ATOMIC_POSITIONS crystal
K 0.000 0.000 0.000
Te 0.333 0.667 0.500
Rh 0.667 0.333 0.500
```

Summary:
Its formation energy from raw total energies is -0.350 eV per atom.

***

A plane-wave DFT calculation with PBE was carried out for K3TeRh after structural relaxation. Values from VASP.

Quantum ESPRESSO input file:
```
&SYSTEM
  ibrav = 0, nat = 5, ntyp = 3
/
ATOMIC_SPECIES
K 39.10 K.upf
Te 127.60 Te.upf
Rh 102.91 Rh.upf
CELL_PARAMETERS angstrom
5.637 0.000 0.000
0.000 5.637 0.000
0.000 0.000 5.637
ATOMIC_POSITIONS crystal
K 0.000 0.000 0.500
K 0.000 0.500 0.000
K 0.500 0.000 0.000
Te 0.500 0.500 0.500
Rh 0.000 0.000 0.000
```

Summary:
Its formation energy from raw total energies is 0.211 eV per atom.

***

A plane-wave DFT calculation with PBE was carried out for KTeRh3 after structural relaxation. Values from VASP.

Quantum ESPRESSO input file:
```
&SYSTEM
  ibrav = 0, nat = 5, ntyp = 3
/
ATOMIC_SPECIES
K 39.10 K.upf
Te 127.60 Te.upf
Rh 102.91 Rh.upf
CELL_PARAMETERS angstrom
4.947 0.000 0.000
0.000 4.947 0.000
0.000 0.000 4.947
ATOMIC_POSITIONS crystal
K 0.000 0.000 0.000
Te 0.500 0.500 0.500
Rh 0.000 0.500 0.500
Rh 0.500 0.000 0.500
Rh 0.500 0.500 0.000
```

Summary:
The relative energy among the computed polymorphs is 0.0000 eV/atom. Its formation energy from raw total energies is 0.524 eV per atom.

***

A plane-wave DFT calculation with PBE was carried out for KTe3Rh after structural relaxation. Values from VASP.

Quantum ESPRESSO input file:
```
&SYSTEM
  ibrav = 0, nat = 5, ntyp = 3
/
ATOMIC_SPECIES
K 39.10 K.upf
Te 127.60 Te.upf
Rh 102.91 Rh.upf
CELL_PARAMETERS angstrom
5.883 0.000 0.000
0.000 5.883 0.000
0.000 0.000 5.883
ATOMIC_POSITIONS crystal
K 0.000 0.000 0.000
Te 0.000 0.000 0.500
Te 0.000 0.500 0.000
Te 0.500 0.000 0.000
Rh 0.500 0.500 0.500
```

Summary:
The relative energy among the computed polymorphs is 1.6565 eV/atom. Its formation energy from raw total energies is 1.493 eV per atom.

***

A plane-wave DFT calculation with PBE was carried out for KTeRh after structural relaxation. Values from VASP.

Quantum ESPRESSO input file:
```
&SYSTEM
  ibrav = 0, nat = 3, ntyp = 3
/
ATOMIC_SPECIES
K 39.10 K.upf
Te 127.60 Te.upf
Rh 102.91 Rh.upf
CELL_PARAMETERS angstrom
0.000 3.392 3.392
3.392 0.000 3.392
3.392 3.392 0.000
ATOMIC_POSITIONS crystal
K 0.000 0.000 0.000
Te 0.500 0.500 0.500
Rh 0.250 0.250 0.250
```

Summary:
Its formation energy from raw total energies is 0.053 eV per atom.

***

A plane-wave DFT calculation with PBE was carried out for KTeRh after structural relaxation. Values from VASP.

Quantum ESPRESSO input file:
```
&SYSTEM
  ibrav = 0, nat = 6, ntyp = 3
/
ATOMIC_SPECIES
K 39.10 K.upf
Te 127.60 Te.upf
Rh 102.91 Rh.upf
CELL_PARAMETERS angstrom
4.406 0.000 0.000
0.000 4.406 0.000
0.000 0.000 8.642
ATOMIC_POSITIONS crystal
K 0.250 0.250 0.164
K 0.750 0.750 0.836
Te 0.250 0.250 0.674
Te 0.750 0.750 0.326
Rh 0.250 0.750 0.500
Rh 0.750 0.250 0.500
```

Summary:
Its formation energy from raw total energies is -0.421 eV per atom.

***

A plane-wave DFT calculation with PBE was carried out for KTe3Rh after structural relaxation. Values from VASP.

Quantum ESPRESSO input file:
```
&SYSTEM
  ibrav = 0, nat = 5, ntyp = 3
/
ATOMIC_SPECIES
K 39.10 K.upf
Te 127.60 Te.upf
Rh 102.91 Rh.upf
CELL_PARAMETERS angstrom
5.372 0.000 0.000
0.000 5.372 0.000
0.000 0.000 5.372
ATOMIC_POSITIONS crystal
K 0.000 0.000 0.000
Te 0.000 0.500 0.500
Te 0.500 0.000 0.500
Te 0.500 0.500 0.000
Rh 0.500 0.500 0.500
```

Summary:
The relative energy among the computed polymorphs is 0.0000 eV/atom. Its formation energy from raw total energies is -0.164 eV per atom.

***

A plane-wave DFT calculation with PBE was carried out for KTeRh after structural relaxation. Values from VASP.

Quantum ESPRESSO input file:
```
&SYSTEM
  ibrav = 0, nat = 3, ntyp = 3
/
ATOMIC_SPECIES
K 39.10 K.upf
Te 127.60 Te.upf
Rh 102.91 Rh.upf
CELL_PARAMETERS angstrom
-1.824 1.824 6.058
1.824 -1.824 6.058
1.824 1.824 -6.058
ATOMIC_POSITIONS crystal
K 0.000 0.000 0.000
Te 0.718 0.718 0.000
Rh 0.282 0.282 0.000
```

Summary:
Its formation energy from raw total energies is -0.313 eV per atom.

***

Number 1: calculated volume 30.51 Å³/atom, N(E_F) 1.157 states/eV/atom, raw total energy -16.3 eV per formula unit. Number 2: calculated volume 20.99 Å³/atom, N(E_F) 0.758 states/eV/atom, raw total energy -15.4 eV per formula unit. Number 3: calculated volume 21.04 Å³/atom, N(E_F) 0.920 states/eV/atom, raw total energy -16.7 eV per formula unit. Number 4: calculated volume 28.59 Å³/atom, N(E_F) 0.995 states/eV/atom, raw total energy -30.0 eV per formula unit. Number 5: calculated volume 30.14 Å³/atom, N(E_F) 1.390 states/eV/atom, raw total energy -12.6 eV per formula unit. Number 6: calculated volume 35.83 Å³/atom, N(E_F) 0.593 states/eV/atom, raw total energy -12.7 eV per formula unit. Number 7: calculated volume 24.21 Å³/atom, N(E_F) 0.606 states/eV/atom, raw total energy -23.7 eV per formula unit. Number 8: calculated volume 40.72 Å³/atom, N(E_F) 2.737 states/eV/atom, raw total energy -10.4 eV per formula unit. Number 9: calculated volume 26.01 Å³/atom, N(E_F) 1.275 states/eV/atom, raw total energy -11.4 eV per formula unit. Number 10: calculated volume 27.96 Å³/atom, N(E_F) 0.832 states/eV/atom, raw total energy -12.9 eV per formula unit. Number 11: calculated volume 31.00 Å³/atom, N(E_F) 1.781 states/eV/atom, raw total energy -18.7 eV per formula unit. Number 12: calculated volume 26.86 Å³/atom, N(E_F) 0.390 states/eV/atom, raw total energy -12.5 eV per formula unit.